one | This record from Alexandria describes TbPmEr after structural relaxation. The functional is PBE.

Cell: 5.181 5.181 5.921 Å, 90.00 90.00 120.00°
Positions (direct):
Tb 0.000 0.000 0.000
Pm 0.333 0.667 0.500
Er 0.333 0.667 0.000

Properties
- M_tot (μB per atom) = 0.00


two | This record from Alexandria describes TbPmEr after structural relaxation. The functional is PBE.

Cell: 7.990 7.990 7.990 Å, 154.16 154.16 36.86°
Positions (direct):
Tb 0.000 0.000 0.000
Pm 0.669 0.669 0.000
Er 0.336 0.336 0.000

Properties
- M_tot (μB per atom) = 0.00


It is one that is the least stable of them.